RbPmSn2Br8 | GGA-PBE | relaxed

Computed properties:
Crystal system: triclinic
E_form (uncorrected), eV/atom: -1.281

a = 6.8740 Å, b = 7.3718 Å, c = 9.5076 Å
α = 86.10°, β = 87.86°, γ = 87.74°
With the nearest neighbours (Å) after each atom.
Space group P-1 (No. 2)
One atom of each set of equivalent atoms:
Rb 0.0000 0.0000 0.0000 [1 per cell]  6 Br 3.37-3.44
Pm 0.0000 0.0000 0.5000 [1 per cell]  6 Br 2.88-2.93
Sn 0.4876 0.4825 0.2482 [2 per cell]  3 Br 2.73-3.00
Br 0.2360 0.3235 0.4698 [2 per cell]  1 Sn 2.89, 1 Pm 2.93
Br 0.2372 0.8301 0.2868 [2 per cell]  1 Pm 2.88, 1 Sn 3.07
Br 0.2598 0.8571 0.7169 [2 per cell]  1 Pm 2.90, 1 Sn 3.00
Br 0.2710 0.3762 0.0358 [2 per cell]  1 Sn 2.73